A relaxed structure of Mg2AsIrN, computed with PBE.

The structure belongs to space group P4/mmm (No. 123); the cell edges are 5.093, 5.093 and 4.519 Å and the angles 90.00°, 90.00° and 90.00°. The distinct sites, in fractional coordinates, are Mg at (0.000, 0.500, 0.000), As at (0.000, 0.000, 0.500), Ir at (0.000, 0.000, 0.000) and N at (0.500, 0.500, 0.500).

The density of states at the Fermi level comes out at 0.6334 states/eV per atom. The raw formation energy is 0.721 eV/atom. The value obtained for the electronic total energy is -21.42 eV/cell. Its total magnetic moment is 2.39 μB per formula unit.